# 1
The following is a PBE-GGA calculation of crystalline BeWN2 at its relaxed geometry, from the Alexandria database.

Cell lengths 4.424, 4.424, 8.355 Å; angles 90.00, 90.00, 90.00 degrees
Space group I-42d (No. 122)
One atom of each set of equivalent atoms:
Be  0.000  0.000  0.000 (multiplicity 4)
W  0.000  0.000  0.500 (multiplicity 4)
N  0.209  0.250  0.125 (multiplicity 8)

magnetic moment = 0.0 μB per cell
electronic total energy = -8.634 eV/atom

***

# 2
The following is a PBE-GGA calculation of crystalline Ac2CeNpO8 at its relaxed geometry, from the Alexandria database.

Cell lengths 4.136, 5.763, 7.881 Å; angles 86.95, 89.38, 83.90 degrees
Space group P-1 (No. 2)
One atom of each set of equivalent atoms:
Ac  0.003  0.009  0.250 (multiplicity 2)
Ce  0.500  0.500  0.000 (multiplicity 1)
Np  0.500  0.500  0.500 (multiplicity 1)
O  0.055  0.734  0.014 (multiplicity 2)
O  0.082  0.712  0.510 (multiplicity 2)
O  0.447  0.280  0.711 (multiplicity 2)
O  0.457  0.275  0.252 (multiplicity 2)

magnetic moment = 1.1 μB per cell
electronic total energy = -8.781 eV/atom

***

# 3
The following is a PBE-GGA calculation of crystalline Ce3PmO at its relaxed geometry, from the Alexandria database.

Cell lengths 4.950, 4.950, 4.950 Å; angles 90.00, 90.00, 90.00 degrees
Space group Pm-3m (No. 221)
One atom of each set of equivalent atoms:
Ce  0.000  0.000  0.500 (multiplicity 3)
Pm  0.500  0.500  0.500 (multiplicity 1)
O  0.000  0.000  0.000 (multiplicity 1)

magnetic moment = 0.0 μB per cell
electronic total energy = -6.569 eV/atom

***

# 4
The following is a PBE-GGA calculation of crystalline Rb2InGe2 at its relaxed geometry, from the Alexandria database.

Cell lengths 12.196, 5.236, 11.788 Å; angles 90.00, 118.71, 90.00 degrees
Space group C2/m (No. 12)
One atom of each set of equivalent atoms:
Rb  0.090  0.000  0.383 (multiplicity 4)
Rb  0.180  0.500  0.197 (multiplicity 4)
In  0.145  0.500  0.861 (multiplicity 4)
Ge  0.090  0.000  0.962 (multiplicity 4)
Ge  0.102  0.500  0.593 (multiplicity 4)

calculated formation energy = -0.059 eV/atom
magnetic moment = 0.0 μB per cell
energy above the lowest structure with this stoichiometry = 0.0 meV per atom

***

# 5
The following is a PBE-GGA calculation of crystalline CaTi2Pt2 at its relaxed geometry, from the Alexandria database.

Cell lengths 4.706, 4.706, 9.588 Å; angles 90.00, 90.00, 90.00 degrees
Space group I4/mmm (No. 139)
One atom of each set of equivalent atoms:
Ca  0.000  0.000  0.000 (multiplicity 2)
Ti  0.000  0.000  0.356 (multiplicity 4)
Pt  0.000  0.500  0.250 (multiplicity 4)

calculated formation energy = -0.487 eV/atom
magnetic moment = 3.0 μB per cell
energy above the lowest structure with this stoichiometry = 333.2 meV per atom

***

# 6
The following is a PBE-GGA calculation of crystalline AgSn at its relaxed geometry, from the Alexandria database.

Cell lengths 3.544, 4.671, 5.728 Å; angles 90.00, 107.96, 90.00 degrees
Space group P2_1/m (No. 11)
One atom of each set of equivalent atoms:
Ag  0.083  0.250  0.162 (multiplicity 2)
Sn  0.346  0.250  0.698 (multiplicity 2)

calculated formation energy = 0.035 eV/atom
magnetic moment = 0.0 μB per cell

***

# 7
The following is a PBE-GGA calculation of crystalline Na2HfInO4 at its relaxed geometry, from the Alexandria database.

Cell lengths 5.968, 3.261, 6.043 Å; angles 90.00, 111.49, 90.00 degrees
Space group P2/m (No. 10)
One atom of each set of equivalent atoms:
Na  0.000  0.000  0.000 (multiplicity 1)
Na  0.000  0.500  0.500 (multiplicity 1)
Hf  0.500  0.000  0.500 (multiplicity 1)
In  0.500  0.500  0.000 (multiplicity 1)
O  0.291  0.500  0.293 (multiplicity 2)
O  0.296  0.000  0.719 (multiplicity 2)

magnetic moment = 0.0 μB per cell
electronic total energy = -6.501 eV/atom

***

# 8
The following is a PBE-GGA calculation of crystalline Zr6ZnSn at its relaxed geometry, from the Alexandria database.

Cell lengths 7.8956, 7.8956, 9.6581 Å; angles 90.00, 90.00, 120.00 degrees
Space group R-3 (No. 148, hexagonal axes)
One atom of each set of equivalent atoms:
Zr  0.0028  0.2516  0.2511 (multiplicity 18)
Zn  0.0000  0.0000  0.5000 (multiplicity 3)
Sn  0.0000  0.0000  0.0000 (multiplicity 3)

calculated formation energy = -0.237 eV/atom
magnetic moment = 0.0 μB per cell